Version a
First-principles (PBE) data for a relaxed structure of Pm7Dy12Sc, as listed in Alexandria.

- V: 35.93 Å³ per atom
- Space-group type: Im-3m, No. 229

Unit cell a=9.773 b=9.773 c=9.773 alpha=109.47 beta=109.47 gamma=109.47
Positions (direct):
1 Pm 0.000 0.000 0.500
2 Pm 0.000 0.500 0.000
3 Pm 0.000 0.500 0.500
4 Pm 0.500 0.000 0.000
5 Pm 0.500 0.000 0.500
6 Pm 0.500 0.500 0.000
7 Pm 0.500 0.500 0.500
8 Dy 0.000 0.243 0.757
9 Dy 0.000 0.757 0.243
10 Dy 0.243 0.000 0.757
11 Dy 0.243 0.243 0.486
12 Dy 0.243 0.486 0.243
13 Dy 0.243 0.757 0.000
14 Dy 0.486 0.243 0.243
15 Dy 0.514 0.757 0.757
16 Dy 0.757 0.000 0.243
17 Dy 0.757 0.243 0.000
18 Dy 0.757 0.514 0.757
19 Dy 0.757 0.757 0.514
20 Sc 0.000 0.000 0.000

***

Version b
First-principles (PBE) data for a relaxed structure of Pm7Dy12Sc, as listed in Alexandria.

- V: 32.92 Å³ per atom
- Space-group type: R-3, No. 148

Unit cell a=8.708 b=8.708 c=8.708 alpha=92.54 beta=92.54 gamma=92.54
Positions (direct):
1 Pm 0.000 0.000 0.000
2 Pm 0.130 0.450 0.377
3 Pm 0.377 0.130 0.450
4 Pm 0.450 0.377 0.130
5 Pm 0.550 0.623 0.870
6 Pm 0.623 0.870 0.550
7 Pm 0.870 0.550 0.623
8 Dy 0.041 0.942 0.337
9 Dy 0.058 0.663 0.959
10 Dy 0.214 0.363 0.760
11 Dy 0.240 0.786 0.637
12 Dy 0.337 0.041 0.942
13 Dy 0.363 0.760 0.214
14 Dy 0.637 0.240 0.786
15 Dy 0.663 0.959 0.058
16 Dy 0.760 0.214 0.363
17 Dy 0.786 0.637 0.240
18 Dy 0.942 0.337 0.041
19 Dy 0.959 0.058 0.663
20 Sc 0.500 0.500 0.500

***

Structures ranked by computed energy, the most stable listed first: version b, version a.

***

Version a
First-principles (PBE) data for a relaxed structure of Pm3Dy7Sc, as listed in Alexandria.

- V: 32.35 Å³ per atom
- Space-group type: C2/m, No. 12

Unit cell a=9.824 b=9.824 c=11.152 alpha=90.02 beta=90.02 gamma=138.61
Positions (direct):
1 Pm 0.000 0.000 0.000
2 Pm 0.250 0.750 0.250
3 Pm 0.250 0.750 0.750
4 Pm 0.500 0.500 0.500
5 Pm 0.750 0.250 0.250
6 Pm 0.750 0.250 0.750
7 Dy 0.088 0.407 0.527
8 Dy 0.093 0.412 0.974
9 Dy 0.164 0.334 0.250
10 Dy 0.251 0.251 0.750
11 Dy 0.334 0.164 0.250
12 Dy 0.407 0.088 0.527
13 Dy 0.412 0.093 0.974
14 Dy 0.588 0.907 0.026
15 Dy 0.593 0.912 0.473
16 Dy 0.666 0.836 0.750
17 Dy 0.749 0.749 0.250
18 Dy 0.836 0.666 0.750
19 Dy 0.907 0.588 0.026
20 Dy 0.912 0.593 0.473
21 Sc 0.000 0.000 0.500
22 Sc 0.500 0.500 0.000

***

Version b
First-principles (PBE) data for a relaxed structure of Pm3Dy7Sc, as listed in Alexandria.

- V: 33.38 Å³ per atom
- Space-group type: P3m1, No. 156

Unit cell a=7.021 b=7.021 c=8.600 alpha=90.00 beta=90.00 gamma=120.00
Positions (direct):
1 Pm 0.002 0.501 0.000
2 Pm 0.499 0.501 0.000
3 Pm 0.499 0.998 0.000
4 Dy 0.168 0.337 0.658
5 Dy 0.168 0.832 0.658
6 Dy 0.335 0.168 0.334
7 Dy 0.663 0.832 0.658
8 Dy 0.667 0.333 0.660
9 Dy 0.832 0.168 0.334
10 Dy 0.832 0.665 0.334
11 Sc 0.333 0.667 0.337

***

Structures ranked by computed energy, the most stable listed first: version a, version b.

***

Version a
First-principles (PBE) data for a relaxed structure of PmDy6Sc2, as listed in Alexandria.

- V: 30.09 Å³ per atom
- Space-group type: C2/c, No. 15

Unit cell a=11.625 b=11.625 c=5.535 alpha=103.69 beta=103.69 gamma=48.58
Positions (direct):
1 Pm 0.250 0.750 0.750
2 Pm 0.750 0.250 0.250
3 Dy 0.004 0.171 0.836
4 Dy 0.081 0.580 0.581
5 Dy 0.171 0.004 0.336
6 Dy 0.329 0.496 0.161
7 Dy 0.420 0.919 0.919
8 Dy 0.496 0.329 0.661
9 Dy 0.504 0.671 0.339
10 Dy 0.580 0.081 0.081
11 Dy 0.671 0.504 0.839
12 Dy 0.829 0.996 0.664
13 Dy 0.919 0.420 0.419
14 Dy 0.996 0.829 0.164
15 Sc 0.167 0.333 0.001
16 Sc 0.333 0.167 0.501
17 Sc 0.667 0.833 0.499
18 Sc 0.833 0.667 0.999

***

Version b
First-principles (PBE) data for a relaxed structure of PmDy6Sc2, as listed in Alexandria.

- V: 30.49 Å³ per atom
- Space-group type: C2/c, No. 15

Unit cell a=9.304 b=9.304 c=6.537 alpha=99.94 beta=99.94 gamma=87.69
Positions (direct):
1 Pm 0.143 0.857 0.750
2 Pm 0.857 0.143 0.250
3 Dy 0.036 0.206 0.822
4 Dy 0.050 0.463 0.264
5 Dy 0.206 0.036 0.322
6 Dy 0.332 0.616 0.002
7 Dy 0.384 0.668 0.498
8 Dy 0.463 0.050 0.764
9 Dy 0.537 0.950 0.236
10 Dy 0.616 0.332 0.502
11 Dy 0.668 0.384 0.998
12 Dy 0.794 0.964 0.678
13 Dy 0.950 0.537 0.736
14 Dy 0.964 0.794 0.178
15 Sc 0.290 0.348 0.629
16 Sc 0.348 0.290 0.129
17 Sc 0.652 0.710 0.871
18 Sc 0.710 0.652 0.371

***

Structures ranked by computed energy, the most stable listed first: version a, version b.

***

Version a
First-principles (PBE) data for a relaxed structure of Pm2Dy2Sc3, as listed in Alexandria.

- V: 29.51 Å³ per atom
- Space-group type: I2_13, No. 199

Unit cell a=8.127 b=8.127 c=8.127 alpha=109.47 beta=109.47 gamma=109.47
Positions (direct):
1 Pm 0.000 0.827 0.500
2 Pm 0.500 0.000 0.827
3 Pm 0.673 0.673 0.673
4 Pm 0.827 0.500 0.000
5 Dy 0.000 0.428 0.500
6 Dy 0.072 0.072 0.072
7 Dy 0.428 0.500 0.000
8 Dy 0.500 0.000 0.428
9 Sc 0.207 0.750 0.957
10 Sc 0.250 0.543 0.293
11 Sc 0.293 0.250 0.543
12 Sc 0.543 0.293 0.250
13 Sc 0.750 0.957 0.207
14 Sc 0.957 0.207 0.750

***

Version b
First-principles (PBE) data for a relaxed structure of Pm2Dy2Sc3, as listed in Alexandria.

- V: 29.73 Å³ per atom
- Space-group type: P2_1/c, No. 14

Unit cell a=5.540 b=12.106 c=6.213 alpha=90.00 beta=92.47 gamma=90.00
Positions (direct):
1 Pm 0.048 0.179 0.337
2 Pm 0.048 0.321 0.837
3 Pm 0.952 0.679 0.163
4 Pm 0.952 0.821 0.663
5 Dy 0.460 0.656 0.498
6 Dy 0.460 0.844 0.998
7 Dy 0.540 0.156 0.002
8 Dy 0.540 0.344 0.502
9 Sc 0.033 0.057 0.790
10 Sc 0.033 0.443 0.290
11 Sc 0.500 0.000 0.500
12 Sc 0.500 0.500 0.000
13 Sc 0.967 0.557 0.710
14 Sc 0.967 0.943 0.210

***

Structures ranked by computed energy, the most stable listed first: version b, version a.

***

Version a
First-principles (PBE) data for a relaxed structure of Pm4Dy3Sc, as listed in Alexandria.

- V: 32.32 Å³ per atom
- Space-group type: Pmn2_1, No. 31

Unit cell a=11.414 b=7.250 c=6.249 alpha=90.00 beta=90.00 gamma=90.00
Positions (direct):
1 Pm 0.000 0.128 0.000
2 Pm 0.000 0.870 0.518
3 Pm 0.243 0.130 0.348
4 Pm 0.257 0.870 0.848
5 Pm 0.500 0.130 0.018
6 Pm 0.500 0.872 0.500
7 Pm 0.743 0.870 0.848
8 Pm 0.757 0.130 0.348
9 Dy 0.000 0.622 0.011
10 Dy 0.250 0.380 0.841
11 Dy 0.250 0.620 0.341
12 Dy 0.500 0.378 0.511
13 Dy 0.750 0.380 0.841
14 Dy 0.750 0.620 0.341
15 Sc 0.000 0.383 0.508
16 Sc 0.500 0.617 0.008

***

Version b
First-principles (PBE) data for a relaxed structure of Pm4Dy3Sc, as listed in Alexandria.

- V: 32.78 Å³ per atom
- Space-group type: C2/m, No. 12

Unit cell a=13.583 b=13.583 c=3.658 alpha=97.69 beta=97.69 gamma=23.10
Positions (direct):
1 Pm 0.095 0.095 0.096
2 Pm 0.218 0.218 0.217
3 Pm 0.782 0.782 0.783
4 Pm 0.905 0.905 0.904
5 Dy 0.359 0.359 0.359
6 Dy 0.500 0.500 0.000
7 Dy 0.641 0.641 0.641
8 Sc 0.000 0.000 0.500

***

Structures ranked by computed energy, the most stable listed first: version a, version b.

***

Version a
First-principles (PBE) data for a relaxed structure of PmDy5Sc2, as listed in Alexandria.

- V: 29.96 Å³ per atom
- Space-group type: Pbam, No. 55

Unit cell a=11.275 b=12.104 c=7.024 alpha=90.00 beta=90.00 gamma=90.00
Positions (direct):
1 Pm 0.247 0.080 0.000
2 Pm 0.253 0.580 0.000
3 Pm 0.747 0.420 0.000
4 Pm 0.753 0.920 0.000
5 Dy 0.000 0.500 0.254
6 Dy 0.000 0.500 0.746
7 Dy 0.001 0.246 0.500
8 Dy 0.001 0.247 0.000
9 Dy 0.249 0.833 0.255
10 Dy 0.249 0.833 0.745
11 Dy 0.251 0.333 0.255
12 Dy 0.251 0.333 0.745
13 Dy 0.499 0.746 0.500
14 Dy 0.499 0.747 0.000
15 Dy 0.500 0.000 0.254
16 Dy 0.500 0.000 0.746
17 Dy 0.501 0.253 0.000
18 Dy 0.501 0.254 0.500
19 Dy 0.749 0.667 0.255
20 Dy 0.749 0.667 0.745
21 Dy 0.751 0.167 0.255
22 Dy 0.751 0.167 0.745
23 Dy 0.999 0.753 0.000
24 Dy 0.999 0.754 0.500
25 Sc 0.000 0.000 0.257
26 Sc 0.000 0.000 0.743
27 Sc 0.246 0.083 0.500
28 Sc 0.254 0.583 0.500
29 Sc 0.500 0.500 0.257
30 Sc 0.500 0.500 0.743
31 Sc 0.746 0.417 0.500
32 Sc 0.754 0.917 0.500

***

Version b
First-principles (PBE) data for a relaxed structure of PmDy5Sc2, as listed in Alexandria.

- V: 29.85 Å³ per atom
- Space-group type: I4/mmm, No. 139

Unit cell a=6.974 b=6.974 c=6.974 alpha=120.28 beta=120.28 gamma=89.51
Positions (direct):
1 Pm 0.000 0.000 0.000
2 Dy 0.000 0.000 0.500
3 Dy 0.000 0.500 0.000
4 Dy 0.500 0.000 0.000
5 Dy 0.500 0.500 0.000
6 Dy 0.500 0.500 0.500
7 Sc 0.000 0.500 0.500
8 Sc 0.500 0.000 0.500

***

Structures ranked by computed energy, the most stable listed first: version a, version b.

***

Version a
First-principles (PBE) data for a relaxed structure of Pm12Dy5Sc2, as listed in Alexandria.

- V: 32.97 Å³ per atom
- Space-group type: C2/m, No. 12

Unit cell a=9.125 b=9.125 c=8.666 alpha=92.32 beta=92.32 gamma=60.35
Positions (direct):
1 Pm 0.058 0.058 0.340
2 Pm 0.068 0.673 0.313
3 Pm 0.168 0.535 0.766
4 Pm 0.327 0.932 0.687
5 Pm 0.422 0.422 0.116
6 Pm 0.465 0.832 0.234
7 Pm 0.535 0.168 0.766
8 Pm 0.578 0.578 0.884
9 Pm 0.673 0.068 0.313
10 Pm 0.832 0.465 0.234
11 Pm 0.932 0.327 0.687
12 Pm 0.942 0.942 0.660
13 Dy 0.202 0.202 0.030
14 Dy 0.269 0.269 0.434
15 Dy 0.500 0.500 0.500
16 Dy 0.731 0.731 0.566
17 Dy 0.798 0.798 0.970
18 Sc 0.166 0.834 0.000
19 Sc 0.834 0.166 0.000

***

Version b
First-principles (PBE) data for a relaxed structure of Pm12Dy5Sc2, as listed in Alexandria.

- V: 33.02 Å³ per atom
- Space-group type: C2/m, No. 12

Unit cell a=10.271 b=10.271 c=9.922 alpha=115.22 beta=115.22 gamma=42.37
Positions (direct):
1 Pm 0.003 0.003 0.202
2 Pm 0.075 0.596 0.503
3 Pm 0.087 0.592 0.152
4 Pm 0.404 0.925 0.497
5 Pm 0.408 0.913 0.848
6 Pm 0.493 0.493 0.679
7 Pm 0.507 0.507 0.321
8 Pm 0.592 0.087 0.152
9 Pm 0.596 0.075 0.503
10 Pm 0.913 0.408 0.848
11 Pm 0.925 0.404 0.497
12 Pm 0.997 0.997 0.798
13 Dy 0.000 0.000 0.500
14 Dy 0.174 0.174 0.171
15 Dy 0.325 0.325 0.810
16 Dy 0.675 0.675 0.190
17 Dy 0.826 0.826 0.829
18 Sc 0.306 0.694 0.000
19 Sc 0.694 0.306 0.000

***

Structures ranked by computed energy, the most stable listed first: version a, version b.

***

Version a
First-principles (PBE) data for a relaxed structure of PmDy3Sc2, as listed in Alexandria.

- V: 31.59 Å³ per atom
- Space-group type: Cmcm, No. 63

Unit cell a=8.642 b=8.642 c=5.460 alpha=90.00 beta=90.00 gamma=68.41
Positions (direct):
1 Pm 0.231 0.769 0.750
2 Pm 0.769 0.231 0.250
3 Dy 0.131 0.391 0.250
4 Dy 0.391 0.131 0.750
5 Dy 0.405 0.595 0.250
6 Dy 0.595 0.405 0.750
7 Dy 0.609 0.869 0.250
8 Dy 0.869 0.609 0.750
9 Sc 0.015 0.198 0.750
10 Sc 0.198 0.015 0.250
11 Sc 0.802 0.985 0.750
12 Sc 0.985 0.802 0.250

***

Version b
First-principles (PBE) data for a relaxed structure of PmDy3Sc2, as listed in Alexandria.

- V: 30.22 Å³ per atom
- Space-group type: C2/m, No. 12

Unit cell a=11.458 b=11.458 c=9.909 alpha=107.71 beta=107.71 gamma=17.04
Positions (direct):
1 Pm 0.183 0.183 0.045
2 Pm 0.817 0.817 0.955
3 Dy 0.060 0.060 0.436
4 Dy 0.197 0.197 0.708
5 Dy 0.433 0.433 0.230
6 Dy 0.567 0.567 0.770
7 Dy 0.803 0.803 0.292
8 Dy 0.940 0.940 0.564
9 Sc 0.192 0.192 0.374
10 Sc 0.430 0.430 0.859
11 Sc 0.570 0.570 0.141
12 Sc 0.808 0.808 0.626

***

Structures ranked by computed energy, the most stable listed first: version b, version a.